P) Below is a relaxed structure of KYTe2O6, with properties calculated at the PBE-GGA level.

## Properties
Calculated density (Mg/m³): 4.2
DOS(E_F) (states/eV per atom): 0.0000

```
10
Lattice="2.964 1.711 6.160 -2.964 1.711 6.160 0.000 -3.423 6.160" Properties=species:S:1:pos:R:3 pbc="T T T"
K 0.000 0.000 0.000
Y 0.000 0.000 9.239
Te 0.000 0.000 5.169
Te 0.000 0.000 13.309
O -1.264 -1.397 7.923
O -1.842 0.396 10.555
O 0.578 -1.793 10.555
O -0.578 1.793 7.923
O 1.842 -0.396 7.923
O 1.264 1.397 10.555
```

***

Q) Below is a relaxed structure of KYTe2O6, with properties calculated at the PBE-GGA level.

## Properties
Calculated density (Mg/m³): 4.2
DOS(E_F) (states/eV per atom): 0.0000

```
40
Lattice="13.756 0.000 0.000 0.000 6.068 0.000 0.000 0.000 8.975" Properties=species:S:1:pos:R:3 pbc="T T T"
K 1.663 1.517 0.041
K 5.215 4.551 4.528
K 8.542 1.517 4.447
K 12.093 4.551 8.934
Y 1.335 4.551 6.334
Y 5.543 1.517 1.846
Y 8.213 4.551 7.129
Y 12.421 1.517 2.641
Te 1.058 4.551 2.540
Te 2.732 1.517 4.447
Te 4.146 4.551 8.935
Te 5.820 1.517 7.027
Te 7.936 4.551 1.948
Te 9.610 1.517 0.041
Te 11.024 4.551 4.528
Te 12.698 1.517 6.435
O 0.075 3.112 1.813
O 0.075 5.991 1.813
O 0.353 4.551 4.289
O 2.332 4.551 8.391
O 2.848 0.055 5.636
O 2.848 2.979 5.636
O 4.030 3.089 1.148
O 4.030 6.013 1.148
O 4.546 1.517 3.904
O 6.525 1.517 8.776
O 6.803 0.078 6.301
O 6.803 2.956 6.301
O 6.953 3.112 2.674
O 6.953 5.991 2.674
O 7.231 4.551 0.199
O 9.210 4.551 5.071
O 9.726 0.055 7.827
O 9.726 2.979 7.827
O 10.908 3.089 3.339
O 10.908 6.013 3.339
O 11.424 1.517 0.584
O 13.403 1.517 4.686
O 13.682 0.078 7.162
O 13.682 2.956 7.162
```

***

Q) is the most stable structure; the next one sits 10.0 kJ/mol of atoms above it.

***

P) Below is a relaxed structure of K4TiO4, with properties calculated at the PBE-GGA level.

## Properties
Calculated density (Mg/m³): 2.6
DOS(E_F) (states/eV per atom): 0.0000

```
18
Lattice="7.431 0.000 0.000 0.000 7.431 0.000 0.000 0.000 6.135" Properties=species:S:1:pos:R:3 pbc="T T T"
K 0.252 1.858 0.822
K 1.858 0.252 3.890
K 1.858 3.463 3.890
K 3.463 1.858 0.822
K 3.968 5.573 5.313
K 5.573 3.968 2.246
K 5.573 7.179 2.246
K 7.179 5.573 5.313
Ti 1.858 5.573 1.534
Ti 5.573 1.858 4.602
O 0.362 5.573 2.626
O 1.858 4.077 0.442
O 1.858 7.069 0.442
O 3.354 5.573 2.626
O 4.077 1.858 3.510
O 5.573 0.362 5.693
O 5.573 3.354 5.693
O 7.069 1.858 3.510
```

***

Q) Below is a relaxed structure of K4TiO4, with properties calculated at the PBE-GGA level.

## Properties
Calculated density (Mg/m³): 2.5
DOS(E_F) (states/eV per atom): 0.0000

```
18
Lattice="6.459 0.000 0.000 2.538 5.975 0.000 1.647 2.505 9.181" Properties=species:S:1:pos:R:3 pbc="T T T"
K 2.824 3.038 1.071
K 4.471 6.304 3.102
K 3.165 2.927 4.836
K 3.342 2.441 8.593
K 7.302 6.039 0.588
K 7.479 5.552 4.345
K 6.173 2.176 6.078
K 7.821 5.441 8.109
Ti 4.648 5.797 6.861
Ti 5.996 2.682 2.320
O 3.741 6.901 8.036
O 3.496 5.464 5.459
O 5.188 4.258 7.751
O 6.167 6.730 6.350
O 4.477 1.750 2.831
O 5.456 4.222 1.430
O 7.149 3.016 3.722
O 6.903 1.578 1.145
```

***

R) Below is a relaxed structure of K4TiO4, with properties calculated at the PBE-GGA level.

## Properties
Calculated density (Mg/m³): 2.5
DOS(E_F) (states/eV per atom): 0.0000

```
36
Lattice="10.643 0.000 0.000 0.000 6.693 0.000 -3.934 0.000 10.084" Properties=species:S:1:pos:R:3 pbc="T T T"
K -0.157 0.573 1.924
K -2.124 2.773 6.966
K 1.416 4.032 0.891
K -0.552 6.007 5.933
K 0.401 4.471 8.976
K 2.368 5.568 3.934
K 1.463 1.354 8.052
K 3.430 1.992 3.010
K 3.279 4.701 7.074
K 5.246 5.339 2.032
K 4.341 1.125 6.150
K 6.308 2.222 1.108
K 7.260 0.686 4.151
K 5.293 2.661 9.193
K 8.833 3.919 3.118
K 6.866 6.120 8.160
Ti -1.307 0.901 10.019
Ti 0.660 2.446 4.977
Ti 6.049 4.247 5.108
Ti 8.016 5.792 0.065
O -2.987 1.612 9.780
O -1.019 1.734 4.738
O -0.865 0.006 8.470
O 1.102 3.341 3.428
O 0.698 3.570 6.460
O 2.665 6.469 1.417
O 1.830 1.051 5.298
O 3.797 2.296 0.256
O 2.912 4.397 9.828
O 4.879 5.642 4.786
O 4.044 0.224 8.667
O 6.011 3.123 3.625
O 5.607 3.352 6.656
O 7.574 6.687 1.614
O 7.728 4.959 5.346
O 9.696 5.081 0.304
```

***

Q) is the most stable structure; the next one sits 0.5 kJ/mol of atoms above it.

***

P) Below is a relaxed structure of K3TlO3, with properties calculated at the PBE-GGA level.

## Properties
Calculated density (Mg/m³): 3.5

```
14
Lattice="4.292 -7.417 0.000 4.292 7.417 0.000 0.000 0.000 5.561" Properties=species:S:1:pos:R:3 pbc="T T T"
K 4.292 4.962 4.170
K 2.140 1.229 4.170
K 2.140 -1.229 1.390
K 6.444 1.229 4.170
K 6.444 -1.229 1.390
K 4.292 -4.962 1.390
Tl 4.292 2.475 1.390
Tl 4.292 -2.475 4.170
O 4.292 4.592 1.390
O 2.460 1.414 1.390
O 2.460 -1.414 4.170
O 6.124 1.414 1.390
O 6.124 -1.414 4.170
O 4.292 -4.592 4.170
```

***

Q) Below is a relaxed structure of K3TlO3, with properties calculated at the PBE-GGA level.

## Properties
Calculated density (Mg/m³): 4.0

```
28
Lattice="7.536 0.000 0.000 0.000 6.994 0.000 -0.553 0.000 11.506" Properties=species:S:1:pos:R:3 pbc="T T T"
K 0.501 0.935 1.851
K 0.224 2.562 7.603
K 2.207 1.271 10.557
K 2.484 2.226 4.804
K 2.367 5.010 9.415
K 2.644 5.480 3.662
K 4.340 1.514 7.843
K 4.617 1.983 2.090
K 4.500 4.768 6.702
K 4.777 5.723 0.949
K 6.760 4.431 3.902
K 6.483 6.059 9.655
Tl 1.219 4.213 0.824
Tl 0.942 6.277 6.577
Tl 6.041 0.716 4.929
Tl 5.765 2.780 10.682
O 0.676 0.211 4.507
O 0.400 3.286 10.259
O 1.736 4.331 6.189
O 2.012 6.159 0.436
O 1.986 0.438 8.053
O 2.262 3.059 2.300
O 4.722 3.935 9.206
O 4.998 6.556 3.453
O 4.972 0.834 11.070
O 5.248 2.662 5.317
O 6.584 3.707 1.246
O 6.307 6.783 6.999
```

***

Q) is the most stable structure; the next one sits 8.7 kJ/mol of atoms above it.